[1]
Below is a relaxed structure of Tm3SiNi9P2, with properties calculated at the PBE level. Values from VASP.

formation energy (no corrections): -7.3 eV/f.u.
density of states at the Fermi level: 8.6 states/eV/f.u.

The structure in Quantum ESPRESSO input format:
```
&SYSTEM
  ibrav = 0, nat = 15, ntyp = 4
/
ATOMIC_SPECIES
Tm 168.93 Tm.upf
Si 28.09 Si.upf
Ni 58.69 Ni.upf
P 30.97 P.upf
ATOMIC_POSITIONS angstrom
Tm 0.000 0.000 0.000
Tm 0.000 3.350 5.124
Tm 2.901 1.675 2.800
Si 0.000 0.000 3.962
Ni -1.451 2.512 0.000
Ni 0.000 1.461 2.273
Ni -1.636 4.294 2.273
Ni 1.265 0.730 5.651
Ni 2.901 0.000 0.000
Ni 1.451 2.512 0.000
Ni 1.636 4.294 2.273
Ni 4.537 0.730 5.651
Ni 2.901 3.564 5.651
P 0.000 3.350 1.389
P 2.901 1.675 6.534
CELL_PARAMETERS angstrom
5.802 0.000 0.000
-2.901 5.025 0.000
0.000 0.000 7.923
```

[2]
Below is a relaxed structure of SiNiP2W, with properties calculated at the PBE level. Values from VASP.

formation energy (no corrections): 4.7 eV/f.u.
density of states at the Fermi level: 3.3 states/eV/f.u.

The structure in Quantum ESPRESSO input format:
```
&SYSTEM
  ibrav = 0, nat = 5, ntyp = 4
/
ATOMIC_SPECIES
Si 28.09 Si.upf
Ni 58.69 Ni.upf
P 30.97 P.upf
W 183.84 W.upf
ATOMIC_POSITIONS angstrom
Si 0.000 0.000 0.000
Ni 2.305 2.305 0.000
P 0.000 2.305 2.359
P 2.305 0.000 2.359
W 2.305 2.305 2.359
CELL_PARAMETERS angstrom
4.610 0.000 0.000
0.000 4.610 0.000
0.000 0.000 4.718
```

[3]
Below is a relaxed structure of SmNi4P3, with properties calculated at the PBE level. Values from VASP.

E_form: -796.4 meV per atom
density of states at the Fermi level: 3.5 states/eV/f.u.

The structure in Quantum ESPRESSO input format:
```
&SYSTEM
  ibrav = 0, nat = 8, ntyp = 3
/
ATOMIC_SPECIES
Sm 150.36 Sm.upf
Ni 58.69 Ni.upf
P 30.97 P.upf
ATOMIC_POSITIONS angstrom
Sm 0.000 0.000 0.000
Ni 0.000 1.931 2.378
Ni 0.000 1.931 4.931
Ni 1.931 0.000 2.378
Ni 1.931 0.000 4.931
P 0.000 0.000 3.655
P 1.931 1.931 1.180
P 1.931 1.931 6.129
CELL_PARAMETERS angstrom
3.861 0.000 0.000
0.000 3.861 0.000
0.000 0.000 7.309
```

[4]
Below is a relaxed structure of Sm6Ni20P13, with properties calculated at the PBE level. Values from VASP.

E_form: -894.3 meV per atom
density of states at the Fermi level: 26.8 states/eV/f.u.

The structure in Quantum ESPRESSO input format:
```
&SYSTEM
  ibrav = 0, nat = 39, ntyp = 3
/
ATOMIC_SPECIES
Sm 150.36 Sm.upf
Ni 58.69 Ni.upf
P 30.97 P.upf
ATOMIC_POSITIONS angstrom
Sm -0.608 2.186 0.000
Sm -4.173 10.467 0.000
Sm 4.167 4.248 1.905
Sm 6.978 1.485 1.905
Sm 4.781 9.414 0.000
Sm 7.965 5.301 1.905
Ni 0.000 0.000 1.905
Ni -2.526 4.707 0.000
Ni -3.551 8.129 1.905
Ni -1.426 6.582 1.905
Ni -0.097 5.213 0.000
Ni -1.807 8.511 0.000
Ni 1.106 3.894 1.905
Ni 2.506 2.516 0.000
Ni 3.902 1.114 1.905
Ni 1.382 6.508 1.905
Ni 0.043 8.977 1.905
Ni -1.031 10.868 0.000
Ni 1.904 8.343 0.000
Ni 3.557 6.492 0.000
Ni 2.445 10.044 1.905
Ni 6.370 3.678 0.000
Ni 5.384 7.097 1.905
Ni 9.309 0.912 0.000
Ni 9.824 2.823 1.905
Ni 7.296 7.606 0.000
P -3.287 6.864 0.000
P -1.203 4.324 1.905
P 1.606 1.601 1.905
P -2.023 9.914 1.905
P 0.000 7.356 0.000
P 2.069 4.755 0.000
P 4.777 2.071 0.000
P 1.218 10.448 0.000
P 3.227 7.829 1.905
P 5.775 5.861 0.000
P 8.558 3.102 0.000
P 10.551 0.590 1.905
P 6.954 8.842 1.905
CELL_PARAMETERS angstrom
12.740 0.000 0.000
-6.370 11.034 0.000
0.000 0.000 3.811
```

[5]
Below is a relaxed structure of Sm3Ni6P5, with properties calculated at the PBE level. Values from VASP.

E_form: -971.3 meV per atom
density of states at the Fermi level: 9.5 states/eV/f.u.

The structure in Quantum ESPRESSO input format:
```
&SYSTEM
  ibrav = 0, nat = 28, ntyp = 3
/
ATOMIC_SPECIES
Sm 150.36 Sm.upf
Ni 58.69 Ni.upf
P 30.97 P.upf
ATOMIC_POSITIONS angstrom
Sm 0.955 1.061 2.361
Sm 0.955 4.774 2.361
Sm 0.955 8.752 2.367
Sm 2.865 2.917 7.144
Sm 2.865 6.896 7.149
Sm 2.865 10.609 7.149
Ni 0.955 0.748 8.465
Ni 0.955 2.917 0.074
Ni 0.955 2.917 4.875
Ni 0.955 5.087 8.465
Ni 0.955 6.752 4.684
Ni 0.955 10.753 4.684
Ni 2.865 0.917 4.827
Ni 2.865 4.918 4.827
Ni 2.865 6.583 1.046
Ni 2.865 8.752 4.636
Ni 2.865 8.752 9.437
Ni 2.865 10.922 1.046
P 0.955 0.924 6.118
P 0.955 4.911 6.118
P 0.955 7.226 9.404
P 0.955 8.752 5.838
P 0.955 10.279 9.404
P 2.865 1.391 0.107
P 2.865 2.917 3.673
P 2.865 4.444 0.107
P 2.865 6.759 3.393
P 2.865 10.746 3.393
CELL_PARAMETERS angstrom
3.819 0.000 0.000
0.000 11.670 0.000
0.000 0.000 9.511
```

[6]
Below is a relaxed structure of SmNi5P3, with properties calculated at the PBE level. Values from VASP.

E_form: -786.3 meV per atom
density of states at the Fermi level: 5.9 states/eV/f.u.

The structure in Quantum ESPRESSO input format:
```
&SYSTEM
  ibrav = 0, nat = 18, ntyp = 3
/
ATOMIC_SPECIES
Sm 150.36 Sm.upf
Ni 58.69 Ni.upf
P 30.97 P.upf
ATOMIC_POSITIONS angstrom
Sm 1.797 3.970 8.594
Sm 1.797 -3.970 2.865
Ni 0.000 0.000 0.000
Ni 0.000 0.000 5.730
Ni 1.797 3.495 0.817
Ni 1.797 3.495 4.913
Ni 1.797 0.595 7.394
Ni 1.797 0.595 9.795
Ni 1.797 -0.595 1.665
Ni 1.797 -0.595 4.065
Ni 1.797 -3.495 6.546
Ni 1.797 -3.495 10.642
P 1.797 4.457 2.865
P 1.797 1.371 0.474
P 1.797 1.371 5.256
P 1.797 -1.371 6.203
P 1.797 -1.371 10.985
P 1.797 -4.457 8.594
CELL_PARAMETERS angstrom
1.797 -5.827 0.000
1.797 5.827 0.000
0.000 0.000 11.459
```

[7]
Below is a relaxed structure of SmNiP2, with properties calculated at the PBE level. Values from VASP.

E_form: -960.5 meV per atom
density of states at the Fermi level: 3.3 states/eV/f.u.

The structure in Quantum ESPRESSO input format:
```
&SYSTEM
  ibrav = 0, nat = 8, ntyp = 3
/
ATOMIC_SPECIES
Sm 150.36 Sm.upf
Ni 58.69 Ni.upf
P 30.97 P.upf
ATOMIC_POSITIONS angstrom
Sm 2.678 2.285 2.692
Sm 2.678 17.029 2.692
Ni 1.339 4.828 1.351
Ni 4.017 14.485 4.042
P 3.809 9.657 1.525
P 2.678 6.079 2.694
P 1.546 9.657 1.525
P 2.678 13.235 2.694
CELL_PARAMETERS angstrom
0.000 9.657 2.692
2.678 0.000 2.692
2.678 9.657 0.000
```

[8]
Below is a relaxed structure of SmNi2P2, with properties calculated at the PBE level. Values from VASP.

E_form: -1005.9 meV per atom
density of states at the Fermi level: 2.0 states/eV/f.u.

The structure in Quantum ESPRESSO input format:
```
&SYSTEM
  ibrav = 0, nat = 5, ntyp = 3
/
ATOMIC_SPECIES
Sm 150.36 Sm.upf
Ni 58.69 Ni.upf
P 30.97 P.upf
ATOMIC_POSITIONS angstrom
Sm 0.000 0.000 0.000
Ni 1.962 0.000 2.371
Ni 0.000 1.962 2.371
P 0.000 0.000 3.550
P 0.000 0.000 5.932
CELL_PARAMETERS angstrom
-1.962 1.962 4.741
1.962 -1.962 4.741
1.962 1.962 -4.741
```

[9]
Below is a relaxed structure of Sm2Ni4SnP3, with properties calculated at the PBE level. Values from VASP.

E_form: -828.8 meV per atom
density of states at the Fermi level: 5.3 states/eV/f.u.

The structure in Quantum ESPRESSO input format:
```
&SYSTEM
  ibrav = 0, nat = 10, ntyp = 4
/
ATOMIC_SPECIES
Sm 150.36 Sm.upf
Ni 58.69 Ni.upf
Sn 118.71 Sn.upf
P 30.97 P.upf
ATOMIC_POSITIONS angstrom
Sm 0.000 2.003 2.281
Sm 2.003 0.000 7.659
Ni 0.000 0.000 0.000
Ni 0.000 2.003 6.456
Ni 2.003 0.000 3.484
Ni 2.003 2.003 0.000
Sn 0.000 0.000 4.970
P 0.000 2.003 8.710
P 2.003 0.000 1.230
P 2.003 2.003 4.970
CELL_PARAMETERS angstrom
4.006 0.000 0.000
0.000 4.006 0.000
0.000 0.000 9.940
```

[10]
Below is a relaxed structure of TbSmNi2P2, with properties calculated at the PBE level. Values from VASP.

E_form: -1204.3 meV per atom
density of states at the Fermi level: 2.7 states/eV/f.u.

The structure in Quantum ESPRESSO input format:
```
&SYSTEM
  ibrav = 0, nat = 6, ntyp = 4
/
ATOMIC_SPECIES
Tb 158.93 Tb.upf
Sm 150.36 Sm.upf
Ni 58.69 Ni.upf
P 30.97 P.upf
ATOMIC_POSITIONS angstrom
Tb 0.000 0.000 0.000
Sm 0.000 0.000 3.953
Ni 0.000 2.260 1.951
Ni 1.957 1.130 5.955
P 0.000 2.260 5.970
P 1.957 1.130 1.936
CELL_PARAMETERS angstrom
3.914 0.000 0.000
-1.957 3.390 0.000
0.000 0.000 7.906
```

[11]
Below is a relaxed structure of SmTcNiP2, with properties calculated at the PBE level. Values from VASP.

E_form: -902.4 meV per atom
density of states at the Fermi level: 2.7 states/eV/f.u.

The structure in Quantum ESPRESSO input format:
```
&SYSTEM
  ibrav = 0, nat = 5, ntyp = 4
/
ATOMIC_SPECIES
Sm 150.36 Sm.upf
Tc 98.00 Tc.upf
Ni 58.69 Ni.upf
P 30.97 P.upf
ATOMIC_POSITIONS angstrom
Sm 0.000 0.000 0.000
Tc 0.000 1.922 2.786
Ni 1.922 0.000 2.786
P 0.000 0.000 4.082
P 0.000 0.000 7.063
CELL_PARAMETERS angstrom
-1.922 1.922 5.572
1.922 -1.922 5.572
1.922 1.922 -5.572
```

[12]
Below is a relaxed structure of SmYNi2P2, with properties calculated at the PBE level. Values from VASP.

E_form: -1205.4 meV per atom
density of states at the Fermi level: 2.7 states/eV/f.u.

The structure in Quantum ESPRESSO input format:
```
&SYSTEM
  ibrav = 0, nat = 6, ntyp = 4
/
ATOMIC_SPECIES
Sm 150.36 Sm.upf
Y 88.91 Y.upf
Ni 58.69 Ni.upf
P 30.97 P.upf
ATOMIC_POSITIONS angstrom
Sm 0.000 0.000 0.000
Y 0.000 0.000 3.956
Ni 0.000 2.257 5.912
Ni 1.954 1.128 2.000
P 0.000 2.257 2.024
P 1.954 1.128 5.888
CELL_PARAMETERS angstrom
3.909 0.000 0.000
-1.954 3.385 0.000
0.000 0.000 7.912
```